No. 1
# Ti12Nb5H3

A geometry-optimized Ti12Nb5H3 structure (PBE, Alexandria).

Unit cell a=12.319 b=12.319 c=12.319 alpha=109.47 beta=109.47 gamma=109.47
Element x y z (fractional)
Ti1 0.022 0.630 0.371
Ti2 0.022 0.892 0.651
Ti3 0.108 0.259 0.130
Ti4 0.108 0.349 0.978
Ti5 0.129 0.759 0.651
Ti6 0.129 0.870 0.478
Ti7 0.130 0.108 0.259
Ti8 0.130 0.522 0.871
Ti9 0.151 0.259 0.629
Ti10 0.151 0.392 0.522
Ti11 0.241 0.349 0.871
Ti12 0.241 0.392 0.370
Ti13 0.259 0.130 0.108
Ti14 0.259 0.629 0.151
Ti15 0.349 0.871 0.241
Ti16 0.349 0.978 0.108
Ti17 0.370 0.241 0.392
Ti18 0.370 0.629 0.978
Ti19 0.371 0.022 0.630
Ti20 0.371 0.849 0.741
Ti21 0.392 0.370 0.241
Ti22 0.392 0.522 0.151
Ti23 0.478 0.129 0.870
Ti24 0.478 0.849 0.608
Ti25 0.522 0.151 0.392
Ti26 0.522 0.871 0.130
Ti27 0.608 0.478 0.849
Ti28 0.608 0.630 0.759
Ti29 0.629 0.151 0.259
Ti30 0.629 0.978 0.370
Ti31 0.630 0.371 0.022
Ti32 0.630 0.759 0.608
Ti33 0.651 0.022 0.892
Ti34 0.651 0.129 0.759
Ti35 0.741 0.371 0.849
Ti36 0.741 0.870 0.892
Ti37 0.759 0.608 0.630
Ti38 0.759 0.651 0.129
Ti39 0.849 0.608 0.478
Ti40 0.849 0.741 0.371
Ti41 0.870 0.478 0.129
Ti42 0.870 0.892 0.741
Ti43 0.871 0.130 0.522
Ti44 0.871 0.241 0.349
Ti45 0.892 0.651 0.022
Ti46 0.892 0.741 0.870
Ti47 0.978 0.108 0.349
Ti48 0.978 0.370 0.629
Nb1 0.000 0.000 0.000
Nb2 0.000 0.000 0.500
Nb3 0.000 0.500 0.000
Nb4 0.000 0.500 0.500
Nb5 0.125 0.750 0.875
Nb6 0.125 0.875 0.250
Nb7 0.250 0.125 0.875
Nb8 0.250 0.625 0.375
Nb9 0.375 0.250 0.625
Nb10 0.375 0.625 0.750
Nb11 0.500 0.000 0.000
Nb12 0.500 0.000 0.500
Nb13 0.500 0.500 0.000
Nb14 0.500 0.500 0.500
Nb15 0.625 0.375 0.250
Nb16 0.625 0.750 0.375
Nb17 0.750 0.375 0.625
Nb18 0.750 0.875 0.125
Nb19 0.875 0.125 0.750
Nb20 0.875 0.250 0.125
H1 0.125 0.250 0.375
H2 0.125 0.375 0.750
H3 0.250 0.375 0.125
H4 0.250 0.875 0.625
H5 0.375 0.125 0.250
H6 0.375 0.750 0.125
H7 0.625 0.250 0.875
H8 0.625 0.875 0.750
H9 0.750 0.125 0.375
H10 0.750 0.625 0.875
H11 0.875 0.625 0.250
H12 0.875 0.750 0.625



No. 2
# Ti2NbH6

A geometry-optimized Ti2NbH6 structure (PBE, Alexandria).

Unit cell a=5.435 b=5.435 c=3.202 alpha=106.86 beta=106.86 gamma=47.79
Element x y z (fractional)
Ti1 0.167 0.167 0.167
Ti2 0.833 0.833 0.833
Nb1 0.500 0.500 0.500
H1 0.075 0.587 0.331
H2 0.244 0.756 0.000
H3 0.413 0.925 0.669
H4 0.587 0.075 0.331
H5 0.756 0.244 0.000
H6 0.925 0.413 0.669



No. 3
# TiNb3H

A geometry-optimized TiNb3H structure (PBE, Alexandria).

Computed properties:
Its excess energy over the best structure of this formula in the dataset is 0 meV/atom.

Unit cell a=4.229 b=4.229 c=4.229 alpha=90.00 beta=90.00 gamma=90.00
Element x y z (fractional)
Ti1 0.000 0.000 0.000
Nb1 0.000 0.500 0.500
Nb2 0.500 0.000 0.500
Nb3 0.500 0.500 0.000
H1 0.500 0.500 0.500



No. 4
# TiNb2H2

A geometry-optimized TiNb2H2 structure (PBE, Alexandria).

Computed properties:
Its excess energy over the best structure of this formula in the dataset is 528 meV/atom.

Unit cell a=5.338 b=5.338 c=5.338 alpha=138.14 beta=138.14 gamma=60.69
Element x y z (fractional)
Ti1 0.000 0.000 0.000
Nb1 0.250 0.750 0.500
Nb2 0.750 0.250 0.500
H1 0.354 0.354 0.000
H2 0.646 0.646 0.000



Number 1: magnetic moment 5.34 μB per formula unit, raw total energy -6.74 eV/atom. Number 2: magnetic moment 0.00 μB per formula unit, raw total energy -5.53 eV/atom. Number 3: magnetic moment 0.00 μB per formula unit, raw total energy -8.21 eV/atom. Number 4: magnetic moment 0.00 μB per formula unit, raw total energy -6.64 eV/atom.